A plane-wave DFT calculation with PBE-GGA was carried out for a relaxed Pm3SmCu2 crystal.

a b c (Å): 5.0181 7.0349 8.9667
angles (deg): 90.00 90.00 90.00
Closest atoms and distances in Å follow each position.
Fractional positions:
1 Pm 0.0000 0.8567 0.6607  4 Cu 2.85-3.12
2 Cu 0.0000 0.7624 0.3468  5 Pm 2.85-3.13, 2 Sm 3.13
3 Sm 0.5000 0.0088 0.4239  3 Cu 2.90-3.13
4 Cu 0.0000 0.2624 0.6532  5 Pm 2.85-3.13, 2 Sm 3.13
5 Pm 0.0000 0.4915 0.9233  3 Cu 2.91-3.13
6 Pm 0.5000 0.1431 0.8387  4 Cu 2.85-3.13
7 Sm 0.5000 0.5088 0.5761  3 Cu 2.90-3.13
8 Pm 0.0000 0.3567 0.3393  4 Cu 2.85-3.12
9 Pm 0.5000 0.6431 0.1613  4 Cu 2.85-3.13
10 Cu 0.5000 0.7375 0.8454  6 Pm 2.85-3.13, 1 Sm 2.90
11 Pm 0.0000 0.9915 0.0767  3 Cu 2.91-3.13
12 Cu 0.5000 0.2375 0.1546  6 Pm 2.85-3.13, 1 Sm 2.90

Results
Its space group is No. 26. The value obtained for the energy relative to the lowest polymorph listed for this composition is 0.00 kJ/mol of atoms. For the density of states at the Fermi level, the calculation gives 12.01 states/eV per cell.


A plane-wave DFT calculation with PBE-GGA was carried out for a relaxed NaFeCuI5 crystal.

a b c (Å): 8.1958 8.1958 9.5879
angles (deg): 102.67 102.67 98.13
Closest atoms and distances in Å follow each position.
Fractional positions:
1 Cu 0.0000 0.0000 0.5000  2 I 2.58
2 I 0.0781 0.9219 0.2500  2 Cu 2.58
3 Fe 0.3374 0.6626 0.7500  4 I 2.56
4 Cu 0.0000 0.0000 0.0000  2 I 2.58
5 I 0.9035 0.3324 0.1192  1 Fe 2.56
6 I 0.6676 0.0965 0.3808  1 Fe 2.56
7 I 0.3739 0.2833 0.0603  1 Fe 2.56
8 I 0.9219 0.0781 0.7500  2 Cu 2.58
9 I 0.6261 0.7167 0.9397  1 Fe 2.56
10 Na 0.6594 0.3406 0.7500  3 I 3.25-3.30
11 I 0.7167 0.6261 0.4397  1 Fe 2.56
12 I 0.0965 0.6676 0.8808  1 Fe 2.56
13 I 0.3324 0.9035 0.6192  1 Fe 2.56
14 I 0.2833 0.3739 0.5603  1 Fe 2.56
15 Fe 0.6626 0.3374 0.2500  4 I 2.56
16 Na 0.3406 0.6594 0.2500  3 I 3.25-3.30

Results
Its space group is No. 15. For the uncorrected formation energy, the calculation gives -369 meV/atom. For the density of states at the Fermi level, the calculation gives 4.36 states/eV per cell.


A plane-wave DFT calculation with PBE-GGA was carried out for a relaxed In2MoBr2 crystal.

a b c (Å): 4.0814 4.0814 9.4562
angles (deg): 77.54 77.54 90.00
Closest atoms and distances in Å follow each position.
Fractional positions:
1 In 0.7500 0.2500 0.5000  4 In 2.89
2 In 0.2500 0.7500 0.5000  4 In 2.89
3 Br 0.5931 0.5931 0.8138  4 Mo 3.34, 1 Br 3.35, 4 In 3.49
4 Mo 0.0000 0.0000 0.0000  8 Br 3.34
5 Br 0.4069 0.4069 0.1862  4 Mo 3.34, 1 Br 3.35, 4 In 3.49

Results
Its space group is No. 139. For the uncorrected formation energy, the calculation gives 529 meV/atom. The value obtained for the energy relative to the lowest polymorph listed for this composition is 24.17 kJ/mol of atoms. For the density of states at the Fermi level, the calculation gives 2.01 states/eV per cell.